(1)
Below is YPaI2 after structural relaxation, with properties calculated at the GGA-PBE level.

Computed properties:
The symmetry is R-3m. The value obtained for the density is 7.46 Mg/m³. The calculation puts the total magnetic moment at 1.8 μB per formula unit. For the uncorrected formation energy, the calculation gives -0.28 eV/atom. For the total energy, the calculation gives -5.05 eV/atom.

Cell lengths 3.6869, 3.6869, 32.5432 Å; angles 90.00, 90.00, 120.00 degrees
Closest atoms and distances in Å follow each position.
Atoms (fractional coordinates):
Y (0.0000, 0.0000, 0.0000)  6 I 3.10
Y (0.3333, 0.6667, 0.6667)  6 I 3.10
Y (0.6667, 0.3333, 0.3333)  6 I 3.10
Pa (0.0000, 0.0000, 0.5000)  2 I 3.16
Pa (0.3333, 0.6667, 0.1667)  2 I 3.16
Pa (0.6667, 0.3333, 0.8333)  2 I 3.16
I (0.0000, 0.0000, 0.4027)  3 Y 3.10, 1 Pa 3.16
I (0.0000, 0.0000, 0.5973)  3 Y 3.10, 1 Pa 3.16
I (0.3333, 0.6667, 0.0694)  3 Y 3.10, 1 Pa 3.16
I (0.3333, 0.6667, 0.2639)  3 Y 3.10, 1 Pa 3.16
I (0.6667, 0.3333, 0.7361)  3 Y 3.10, 1 Pa 3.16
I (0.6667, 0.3333, 0.9306)  3 Y 3.10, 1 Pa 3.16

=====

(2)
Below is PaZnI after structural relaxation, with properties calculated at the GGA-PBE level.

Computed properties:
The symmetry is C2/m. The value obtained for the density is 8.35 Mg/m³. The calculation puts the total magnetic moment at 0.0 μB per formula unit. For the uncorrected formation energy, the calculation gives -0.16 eV/atom. For the total energy, the calculation gives -4.26 eV/atom.

Cell lengths 6.1958, 3.5772, 15.3403 Å; angles 90.00, 97.98, 90.00 degrees
Closest atoms and distances in Å follow each position.
Atoms (fractional coordinates):
Pa (0.0962, 0.0000, 0.2951)  3 Zn 3.10, 3 I 3.13
Pa (0.4038, 0.5000, 0.7049)  3 Zn 3.10, 3 I 3.13
Pa (0.5962, 0.5000, 0.2951)  3 Zn 3.10, 3 I 3.13
Pa (0.9038, 0.0000, 0.7049)  3 Zn 3.10, 3 I 3.13
Zn (0.1848, 0.0000, 0.5528)  3 Zn 2.61
Zn (0.3152, 0.5000, 0.4472)  3 Zn 2.61
Zn (0.6848, 0.5000, 0.5528)  3 Zn 2.61
Zn (0.8152, 0.0000, 0.4472)  3 Zn 2.61
I (0.1235, 0.5000, 0.8595)  3 Pa 3.13
I (0.3765, 0.0000, 0.1405)  3 Pa 3.13
I (0.6235, 0.0000, 0.8595)  3 Pa 3.13
I (0.8765, 0.5000, 0.1405)  3 Pa 3.13

=====

(3)
Below is PaZnI6 after structural relaxation, with properties calculated at the GGA-PBE level.

Computed properties:
The symmetry is C2/m. The value obtained for the density is 4.75 Mg/m³. The calculation puts the total magnetic moment at 1.0 μB per formula unit. For the uncorrected formation energy, the calculation gives -0.71 eV/atom. For the total energy, the calculation gives -3.22 eV/atom.

Cell lengths 7.4383, 14.2285, 7.4486 Å; angles 90.00, 110.39, 90.00 degrees
Closest atoms and distances in Å follow each position.
Atoms (fractional coordinates):
Pa (0.0000, 0.0000, 0.0000)  6 I 2.97-3.06
Pa (0.5000, 0.5000, 0.0000)  6 I 2.97-3.06
Zn (0.0000, 0.5000, 0.5000)  6 I 2.85-3.14
Zn (0.5000, 0.0000, 0.5000)  6 I 2.85-3.14
I (0.2317, 0.3561, 0.7339)  1 Zn 2.85, 1 Pa 3.06
I (0.2317, 0.6439, 0.7339)  1 Zn 2.85, 1 Pa 3.06
I (0.2413, 0.0000, 0.7558)  1 Pa 2.97, 1 Zn 3.14
I (0.2587, 0.5000, 0.2442)  1 Pa 2.97, 1 Zn 3.14
I (0.2683, 0.1439, 0.2661)  1 Zn 2.85, 1 Pa 3.06
I (0.2683, 0.8561, 0.2661)  1 Zn 2.85, 1 Pa 3.06
I (0.7317, 0.1439, 0.7339)  1 Zn 2.85, 1 Pa 3.06
I (0.7317, 0.8561, 0.7339)  1 Zn 2.85, 1 Pa 3.06
I (0.7413, 0.5000, 0.7558)  1 Pa 2.97, 1 Zn 3.14
I (0.7587, 0.0000, 0.2442)  1 Pa 2.97, 1 Zn 3.14
I (0.7683, 0.3561, 0.2661)  1 Zn 2.85, 1 Pa 3.06
I (0.7683, 0.6439, 0.2661)  1 Zn 2.85, 1 Pa 3.06

=====

(4)
Below is PaZn2I8 after structural relaxation, with properties calculated at the GGA-PBE level.

Computed properties:
The symmetry is C2/m. The value obtained for the density is 3.69 Mg/m³. For the distance to the lowest polymorph of the same formula, the calculation gives 0.000 eV/atom. The calculation puts the total magnetic moment at 1.0 μB per formula unit. For the uncorrected formation energy, the calculation gives -0.74 eV/atom. For the total energy, the calculation gives -2.97 eV/atom.

Cell lengths 7.9844, 7.9844, 10.8481 Å; angles 104.94, 104.94, 101.39 degrees
Closest atoms and distances in Å follow each position.
Atoms (fractional coordinates):
Pa (0.0000, 0.0000, 0.0000)  6 I 2.95-3.11
Zn (0.0236, 0.0236, 0.3545)  4 I 2.65-2.66
Zn (0.9764, 0.9764, 0.6455)  4 I 2.65-2.66
I (0.1234, 0.7759, 0.7778)  1 Zn 2.66
I (0.2195, 0.2195, 0.6071)  2 Zn 2.65-2.66
I (0.2241, 0.8766, 0.2222)  1 Zn 2.66
I (0.3117, 0.3117, 0.0585)  1 Pa 2.95
I (0.6883, 0.6883, 0.9415)  1 Pa 2.95
I (0.7759, 0.1234, 0.7778)  1 Zn 2.66
I (0.7805, 0.7805, 0.3929)  2 Zn 2.65-2.66
I (0.8766, 0.2241, 0.2222)  1 Zn 2.66

=====

(5)
Below is Zr2PaI8 after structural relaxation, with properties calculated at the GGA-PBE level.

Computed properties:
The symmetry is C2/m. The value obtained for the density is 5.66 Mg/m³. The calculation puts the total magnetic moment at 2.9 μB per formula unit. For the uncorrected formation energy, the calculation gives -0.71 eV/atom. For the total energy, the calculation gives -4.25 eV/atom.

Cell lengths 7.7928, 7.7928, 8.9974 Å; angles 118.50, 118.50, 71.86 degrees
Closest atoms and distances in Å follow each position.
Atoms (fractional coordinates):
Zr (0.1718, 0.1718, 0.4592)  7 I 2.92-3.17
Zr (0.8282, 0.8282, 0.5408)  7 I 2.92-3.17
Pa (0.0000, 0.0000, 0.0000)  8 I 3.11-3.37, 2 Zr 3.35
I (0.1253, 0.1253, 0.7565)  2 Zr 3.04-3.06, 1 Pa 3.37
I (0.2029, 0.6207, 0.7280)  2 Zr 2.99-3.17, 1 Pa 3.33
I (0.3036, 0.3036, 0.2794)  1 Zr 2.92, 1 Pa 3.11
I (0.3793, 0.7971, 0.2720)  2 Zr 2.99-3.17, 1 Pa 3.33
I (0.6207, 0.2029, 0.7280)  2 Zr 2.99-3.17, 1 Pa 3.33
I (0.6964, 0.6964, 0.7206)  1 Zr 2.92, 1 Pa 3.11
I (0.7971, 0.3793, 0.2720)  2 Zr 2.99-3.17, 1 Pa 3.33
I (0.8747, 0.8747, 0.2435)  2 Zr 3.04-3.06, 1 Pa 3.37

=====

(6)
Below is ZrPa2I8 after structural relaxation, with properties calculated at the GGA-PBE level.

Computed properties:
The symmetry is C2/m. The value obtained for the density is 4.51 Mg/m³. The calculation puts the total magnetic moment at 2.0 μB per formula unit. For the uncorrected formation energy, the calculation gives -0.66 eV/atom. For the total energy, the calculation gives -4.29 eV/atom.

Cell lengths 9.5857, 9.5857, 6.3769 Å; angles 91.13, 91.13, 80.12 degrees
Closest atoms and distances in Å follow each position.
Atoms (fractional coordinates):
Zr (0.0000, 0.0000, 0.0000)  6 I 3.01-3.14, 2 Pa 3.04
Pa (0.1803, 0.1803, 0.2466)  5 I 2.95-3.22, 1 Zr 3.04
Pa (0.8197, 0.8197, 0.7534)  5 I 2.95-3.22, 1 Zr 3.04
I (0.1288, 0.7194, 0.7604)  1 Pa 2.95, 1 Zr 3.14
I (0.1715, 0.1715, 0.7507)  1 Zr 3.01, 2 Pa 3.16-3.22
I (0.2806, 0.8712, 0.2396)  1 Pa 2.95, 1 Zr 3.14
I (0.3817, 0.3817, 0.2615)  1 Pa 2.95
I (0.6183, 0.6183, 0.7385)  1 Pa 2.95
I (0.7194, 0.1288, 0.7604)  1 Pa 2.95, 1 Zr 3.14
I (0.8285, 0.8285, 0.2493)  1 Zr 3.01, 2 Pa 3.16-3.22
I (0.8712, 0.2806, 0.2396)  1 Pa 2.95, 1 Zr 3.14

=====

Which value of total magnetic moment does entry 6 give? 2.0 μB per formula unit

=====

Which value of total magnetic moment does entry 2 give? 0.0 μB per formula unit